PBE Pr3Dy2Ho4, relaxed; energy above the lowest structure with this stoichiometry = 10.9 meV/atom; formation energy = 0.10 eV/atom; DOS at the Fermi energy = 1.57 states/eV/atom; energy = -81.89 eV for the cell shown; SG = No. 15
1.0
0.423 4.428 4.131
6.196 -2.340 9.116
10.052 5.025 0.826
Pr Dy Ho
6 4 8
Cartesian
3.440 4.579 3.858
14.282 6.351 10.475
13.231 2.534 10.215
2.389 0.761 3.598
7.810 1.648 6.906
8.861 5.465 7.167
6.913 3.864 4.468
10.559 2.966 5.365
9.759 3.248 9.605
6.113 4.146 8.708
7.698 0.625 10.274
5.914 -1.164 7.855
8.973 6.488 3.799
10.757 8.277 6.218
5.123 2.082 2.054
12.347 4.746 7.781
11.548 5.030 12.019
4.324 2.366 6.292